Material: La4Tb2DySc
Method: DFT, PBE
State: optimized geometry

```
8
Lattice="5.221 0.000 0.000 0.000 4.992 1.273 0.000 2.534 10.900" Properties=species:S:1:pos:R:3 pbc="T T T"
La 0.000 5.667 9.083
La 5.221 1.859 3.091
La 2.610 4.362 3.725
La 2.610 3.164 8.449
Tb 0.000 2.534 10.900
Tb 2.610 1.267 5.450
Dy 2.610 2.496 0.637
Sc 0.000 3.763 6.087
```

Values from the calculation:
Space group   No. 10
ΔE_f   0.0100 eV per atom


Material: CsGa3Sn2
Method: DFT, PBE
State: optimized geometry

```
12
Lattice="-3.487 0.310 -3.106 0.512 -9.452 2.007 -5.149 4.621 6.240" Properties=species:S:1:pos:R:3 pbc="T T T"
Cs -7.594 -2.249 4.773
Cs -0.529 -2.272 0.367
Ga -3.464 -3.228 3.566
Ga -5.784 -5.563 2.411
Ga -5.156 1.386 2.400
Ga -2.967 -5.907 2.740
Ga -2.339 1.042 2.729
Ga -4.659 -1.293 1.575
Sn -4.988 -5.272 5.072
Sn -3.135 0.751 0.069
Sn -4.086 -3.969 0.664
Sn -4.037 -0.552 4.476
```

Values from the calculation:
Space group   No. 12
ΔE_f   -0.0961 eV per atom


Material: FeCo3As
Method: DFT, PBE
State: optimized geometry

```
5
Lattice="4.280 0.000 0.000 0.000 4.280 0.000 0.000 0.000 4.280" Properties=species:S:1:pos:R:3 pbc="T T T"
As 2.140 2.140 2.140
Co 0.000 2.140 0.000
Co 0.000 0.000 2.140
Co 2.140 0.000 0.000
Fe 0.000 0.000 0.000
```

Values from the calculation:
Space group   No. 221
ΔE_f   1.1068 eV per atom
Polymorph energy (0 for the lowest one)   276 meV per atom


Material: PrTmIrRh
Method: DFT, PBE
State: optimized geometry

```
4
Lattice="-3.869 1.689 -2.526 -2.420 -2.981 -3.076 -4.535 -1.540 1.126" Properties=species:S:1:pos:R:3 pbc="T T T"
Pr -2.706 -0.708 -1.119
Rh -5.412 -1.416 -2.238
Ir 0.000 0.000 0.000
Tm -8.118 -2.124 -3.358
```

Values from the calculation:
Space group   No. 216
ΔE_f   -0.7270 eV per atom


Material: TiInMoN2
Method: DFT, PBE
State: optimized geometry

```
5
Lattice="-2.530 0.144 -3.214 0.358 -5.279 -0.518 -3.206 -0.463 2.503" Properties=species:S:1:pos:R:3 pbc="T T T"
N -1.603 -0.232 1.251
N -1.265 0.072 -1.607
Mo 0.179 -2.639 -0.259
Ti -2.689 -2.799 -0.615
In 0.000 0.000 0.000
```

Values from the calculation:
Space group   No. 123
E_form (uncorrected)   2155.6 meV per atom


Material: CaPrSc2Hg4
Method: DFT, PBE
State: optimized geometry

```
8
Lattice="-0.948 4.234 2.817 1.944 0.418 4.775 7.398 5.262 -0.671" Properties=species:S:1:pos:R:3 pbc="T T T"
Ca 4.197 4.957 3.461
Pr 0.000 0.000 0.000
Sc 6.237 7.405 5.218
Sc 2.157 2.509 1.704
Hg 6.768 6.307 2.296
Hg 3.668 6.056 6.382
Hg 4.726 3.859 0.540
Hg 1.627 3.607 4.626
```

Values from the calculation:
Space group   No. 166
ΔE_f   -0.4277 eV per atom


Material: Ti2CdC
Method: DFT, PBE
State: optimized geometry

```
8
Lattice="-2.178 -0.202 2.201 2.997 0.146 0.791 -0.841 14.542 0.501" Properties=species:S:1:pos:R:3 pbc="T T T"
Ti -0.938 8.309 2.021
Ti 0.917 6.177 1.473
Ti 1.207 1.154 1.300
Ti -1.229 13.332 2.194
Cd -0.663 3.550 1.857
Cd 0.641 10.936 1.637
C -0.420 7.271 0.251
C 0.000 0.000 0.000
```

Values from the calculation:
Space group   No. 194
ΔE_f   -0.5407 eV per atom
Polymorph energy (0 for the lowest one)   12 meV per atom


Material: GaH2O
Method: DFT, PBE
State: optimized geometry

```
4
Lattice="-2.970 -0.800 -0.274 -0.013 -1.112 3.298 -2.643 3.574 2.536" Properties=species:S:1:pos:R:3 pbc="T T T"
Ga -3.456 1.294 4.217
H -3.576 2.270 2.709
H -1.428 0.074 3.170
O -1.616 0.488 4.040
```

Values from the calculation:
Space group   No. 1
Polymorph energy (0 for the lowest one)   46 meV per atom


Material: Li2AgF4
Method: DFT, PBE
State: optimized geometry

```
14
Lattice="5.700 -0.541 -1.461 -3.169 4.768 -1.461 0.301 0.503 6.601" Properties=species:S:1:pos:R:3 pbc="T T T"
Li 1.035 2.772 2.172
Li -2.671 4.557 1.545
Li -1.222 4.032 4.845
Li 4.021 0.643 -1.129
Ag 3.613 1.004 1.863
Ag 1.245 2.080 -1.438
F 0.809 3.969 3.702
F -0.517 1.550 1.862
F -0.540 2.126 5.266
F 1.027 3.718 0.504
F 1.872 1.124 3.098
F 3.258 2.823 -1.449
F 3.318 3.129 1.852
F 2.173 0.602 -0.203
```

Values from the calculation:
Space group   No. 43
Polymorph energy (0 for the lowest one)   10 meV per atom
E_form (uncorrected)   -2134.7 meV per atom


Material: Rb3LiBr4
Method: DFT, PBE
State: optimized geometry

```
16
Lattice="-0.902 1.698 6.680 0.082 -8.981 2.295 11.136 0.457 1.388" Properties=species:S:1:pos:R:3 pbc="T T T"
Rb -0.435 -6.810 5.732
Rb 2.578 -5.795 2.279
Rb 2.507 -1.893 4.894
Rb 5.524 -0.886 1.414
Rb 7.667 -1.682 5.537
Rb 8.554 -5.550 3.024
Li -0.883 0.079 7.053
Li 5.190 -6.303 5.880
Br 0.016 -7.985 2.498
Br -0.549 -0.859 4.690
Br 2.338 -2.476 1.454
Br 2.735 -5.188 5.813
Br 5.517 -6.607 3.354
Br 5.067 0.301 4.691
Br 7.488 -4.993 6.406
Br 8.721 -2.214 2.249
```

Values from the calculation:
Space group   No. 31
Polymorph energy (0 for the lowest one)   30 meV per atom
E_form (uncorrected)   -1632.6 meV per atom


Material: Tb8Dy2Mg
Method: DFT, PBE
State: optimized geometry

```
11
Lattice="-5.594 -3.060 0.155 1.506 -9.078 2.004 -0.182 -5.715 7.483" Properties=species:S:1:pos:R:3 pbc="T T T"
Tb -1.242 -8.839 7.112
Tb -3.895 -7.289 5.343
Tb -0.692 -12.758 7.617
Tb -3.579 -5.096 2.025
Tb -0.376 -10.565 4.299
Tb -3.028 -9.015 2.531
Tb -3.447 -10.758 5.541
Tb -0.824 -7.096 4.101
Dy -3.962 -13.450 7.034
Dy -0.308 -4.403 2.608
Mg 0.000 0.000 0.000
```

Values from the calculation:
Space group   No. 12
ΔE_f   0.1889 eV per atom
Polymorph energy (0 for the lowest one)   34 meV per atom


Material: BeC2
Method: DFT, PBE
State: optimized geometry

```
3
Lattice="-0.396 2.731 2.446 -2.094 -0.277 3.023 2.621 -1.832 -1.837" Properties=species:S:1:pos:R:3 pbc="T T T"
Be 0.000 0.000 0.000
C -0.674 0.664 1.480
C -1.816 1.790 3.990
```

Values from the calculation:
Space group   No. 139
ΔE_f   1.8718 eV per atom
Polymorph energy (0 for the lowest one)   1485 meV per atom


Material: MoSeBr2
Method: DFT, PBE
State: optimized geometry

```
4
Lattice="1.768 0.000 12.792 -0.884 1.531 12.792 -0.884 -1.531 12.792" Properties=species:S:1:pos:R:3 pbc="T T T"
Mo 0.000 0.000 0.000
Se 0.000 0.000 19.188
Br 0.000 0.000 35.956
Br 0.000 0.000 2.419
```

Values from the calculation:
Space group   No. 166
Polymorph energy (0 for the lowest one)   871 meV per atom
E_form (uncorrected)   540.1 meV per atom


Material: CaTaIn2H
Method: DFT, PBE
State: optimized geometry

```
5
Lattice="-0.237 1.344 -5.749 -3.113 -1.634 -0.254 -2.762 5.060 1.297" Properties=species:S:1:pos:R:3 pbc="T T T"
H -1.556 -0.817 -0.127
Ca 0.000 0.000 0.000
In -1.381 2.530 0.648
In -0.118 0.672 -2.874
Ta -3.056 2.385 -2.353
```

Values from the calculation:
Space group   No. 123


Material: YC2F
Method: DFT, PBE
State: optimized geometry

```
4
Lattice="1.358 -1.006 3.770 -2.411 -2.179 2.551 0.938 -3.926 0.878" Properties=species:S:1:pos:R:3 pbc="T T T"
Y -0.057 -3.555 3.600
C -0.029 -1.778 1.800
C -0.086 -5.333 5.400
F 0.000 0.000 0.000
```

Values from the calculation:
Space group   No. 225
Polymorph energy (0 for the lowest one)   1156 meV per atom
E_form (uncorrected)   1144.3 meV per atom


Material: KPRu2
Method: DFT, PBE
State: optimized geometry

```
4
Lattice="4.234 0.000 0.000 0.000 2.989 0.092 0.000 1.173 6.627" Properties=species:S:1:pos:R:3 pbc="T T T"
K 0.000 2.218 3.529
P 2.117 3.647 5.692
Ru 0.000 2.442 0.181
Ru 2.117 0.925 0.768
```

Values from the calculation:
Space group   No. 6
ΔE_f   0.2132 eV per atom


Material: InSiCl
Method: DFT, PBE
State: optimized geometry

```
12
Lattice="6.865 0.000 -0.005 0.000 3.918 0.000 -3.803 0.000 11.662" Properties=species:S:1:pos:R:3 pbc="T T T"
Si 4.080 0.000 0.700
Si 2.178 1.959 6.530
Si 3.379 0.000 5.861
Si 5.281 1.959 0.030
Cl -0.747 0.000 3.013
Cl -2.648 1.959 8.844
Cl -1.592 0.000 11.282
Cl 0.310 1.959 5.452
In 3.171 0.000 3.193
In 1.270 1.959 9.024
In -1.174 0.000 7.486
In 0.727 1.959 1.655
```

Values from the calculation:
Space group   No. 8
E_form (uncorrected)   -260.3 meV per atom


Material: PaZnHgPt
Method: DFT, PBE
State: optimized geometry

```
4
Lattice="4.841 0.000 0.000 2.421 4.192 0.000 2.421 1.397 3.953" Properties=species:S:1:pos:R:3 pbc="T T T"
Zn 7.262 4.192 2.965
Pa 4.841 2.795 1.976
Hg 0.000 0.000 0.000
Pt 2.421 1.397 0.988
```

Values from the calculation:
Space group   No. 216
ΔE_f   -0.3436 eV per atom


Material: Rb2AcHoSe4
Method: DFT, PBE
State: optimized geometry

```
8
Lattice="4.418 0.000 0.000 0.000 7.663 0.140 0.000 -2.683 7.988" Properties=species:S:1:pos:R:3 pbc="T T T"
Rb 2.209 -1.342 3.994
Rb 0.000 2.490 4.064
Ac 0.000 0.000 0.000
Ho 2.209 3.831 0.070
Se 2.209 1.396 1.666
Se 2.209 3.583 6.461
Se 0.000 0.024 6.458
Se 0.000 4.955 1.670
```

Values from the calculation:
Space group   No. 10
E_form (uncorrected)   -1749.2 meV per atom


Material: Dy2TiO5
Method: DFT, PBE
State: optimized geometry

```
16
Lattice="5.908 -0.003 0.000 -4.501 3.827 0.000 0.000 0.000 10.514" Properties=species:S:1:pos:R:3 pbc="T T T"
Dy -3.007 3.278 9.775
Dy -3.007 3.278 5.996
Dy 4.414 0.547 0.739
Dy 4.414 0.547 4.518
Ti -2.742 3.180 2.629
Ti 4.149 0.644 7.886
O -3.975 3.634 3.960
O -3.975 3.634 1.297
O 2.908 1.101 9.544
O 2.908 1.101 6.227
O -1.611 2.764 7.886
O 3.018 1.061 2.629
O -1.501 2.723 0.970
O -1.501 2.723 4.287
O 5.382 0.191 6.554
O 5.382 0.191 9.217
```

Values from the calculation:
Space group   No. 63
Polymorph energy (0 for the lowest one)   92 meV per atom
E_form (uncorrected)   -3360.4 meV per atom


Material: PrSc2OsO8
Method: DFT, PBE
State: optimized geometry

```
12
Lattice="-0.704 -4.540 -1.750 3.594 0.515 -3.311 4.427 -2.395 4.433" Properties=species:S:1:pos:R:3 pbc="T T T"
Pr 2.214 -1.198 2.217
Sc 4.711 -3.780 0.739
Sc 2.607 -2.641 -1.367
Os 0.000 0.000 0.000
O 3.644 -0.979 -2.092
O 6.555 -5.356 0.709
O 1.058 -4.026 -1.156
O 3.674 -5.442 1.464
O 0.763 -1.065 -1.338
O 6.260 -2.395 0.527
O 4.169 -3.914 -1.203
O 3.150 -2.507 0.575
```

Values from the calculation:
Space group   No. 65
E_form (uncorrected)   -2444.3 meV per atom


Material: NaAuSCl
Method: DFT, PBE
State: optimized geometry

```
4
Lattice="3.566 0.000 0.000 0.000 3.566 0.000 0.000 0.000 7.133" Properties=species:S:1:pos:R:3 pbc="T T T"
Na 1.783 1.783 4.468
Au 0.000 0.000 1.110
S 1.783 1.783 1.519
Cl 0.000 0.000 5.253
```

Values from the calculation:
Space group   No. 99
Polymorph energy (0 for the lowest one)   0 meV per atom
E_form (uncorrected)   -674.0 meV per atom


Material: Ca2FePt
Method: DFT, PBE
State: optimized geometry

```
4
Lattice="8.556 -0.278 -0.165 7.850 3.414 -0.165 7.850 1.501 3.071" Properties=species:S:1:pos:R:3 pbc="T T T"
Ca 0.228 0.044 0.026
Ca 11.900 2.275 1.345
Fe 6.064 1.159 0.686
Pt 18.192 3.478 2.057
```

Values from the calculation:
Space group   No. 166
ΔE_f   0.1530 eV per atom


Material: Pr4SiHBr2
Method: DFT, PBE
State: optimized geometry

```
8
Lattice="4.090 0.000 0.000 0.000 7.021 0.186 0.000 -2.409 7.425" Properties=species:S:1:pos:R:3 pbc="T T T"
Pr 2.045 1.333 1.514
Pr 2.045 3.279 6.098
Pr 0.000 0.012 5.923
Pr 0.000 4.599 1.688
Si 0.000 0.000 0.000
H 2.045 3.510 0.093
Br 2.045 -1.205 3.712
Br 0.000 2.306 3.806
```

Values from the calculation:
Space group   No. 10


Material: Na3U2CoS6
Method: DFT, PBE
State: optimized geometry

```
12
Lattice="6.569 -0.004 -0.001 -3.286 5.687 -0.001 -1.095 -1.897 6.776" Properties=species:S:1:pos:R:3 pbc="T T T"
Na -2.189 3.789 3.388
Na 4.376 -0.003 3.388
Na 1.093 1.893 3.388
U -0.001 3.790 -0.001
U 3.284 1.893 -0.001
Co 0.000 0.000 0.000
S 3.240 1.966 5.268
S 2.234 3.868 1.496
S -1.053 1.821 1.507
S 0.083 3.789 5.268
S -0.047 -0.081 5.279
S 2.104 -0.002 1.507
```

Values from the calculation:
Space group   No. 12
E_form (uncorrected)   -1130.9 meV per atom


Number 1: energy -4.978 eV/atom, total moment 0.000 Bohr magnetons per cell. Number 2: energy -3.086 eV/atom, total moment 0.000 Bohr magnetons per cell. Number 3: energy -5.779 eV/atom, total moment 7.593 Bohr magnetons per cell. Number 4: energy -7.093 eV/atom, total moment 0.000 Bohr magnetons per cell. Number 5: energy -5.467 eV/atom, total moment 2.548 Bohr magnetons per cell. Number 6: energy -3.009 eV/atom, total moment 0.000 Bohr magnetons per cell. Number 7: energy -7.023 eV/atom, total moment 0.000 Bohr magnetons per cell. Number 8: energy -4.239 eV/atom, total moment 0.000 Bohr magnetons per cell. Number 9: energy -4.158 eV/atom, total moment 1.997 Bohr magnetons per cell. Number 10: energy -3.071 eV/atom, total moment 0.252 Bohr magnetons per cell. Number 11: energy -4.160 eV/atom, total moment 0.000 Bohr magnetons per cell. Number 12: energy -5.520 eV/atom, total moment 0.000 Bohr magnetons per cell. Number 13: energy -3.875 eV/atom, total moment 0.170 Bohr magnetons per cell. Number 14: energy -3.661 eV/atom, total moment 0.000 Bohr magnetons per cell. Number 15: energy -5.551 eV/atom, total moment 0.000 Bohr magnetons per cell. Number 16: energy -6.052 eV/atom, total moment 0.000 Bohr magnetons per cell. Number 17: energy -3.596 eV/atom, total moment 0.000 Bohr magnetons per cell. Number 18: energy -4.622 eV/atom, total moment 0.000 Bohr magnetons per cell. Number 19: energy -4.819 eV/atom, total moment 0.000 Bohr magnetons per cell. Number 20: energy -8.597 eV/atom, total moment 0.000 Bohr magnetons per cell. Number 21: energy -8.139 eV/atom, total moment 1.036 Bohr magnetons per cell. Number 22: energy -3.317 eV/atom, total moment 0.000 Bohr magnetons per cell. Number 23: energy -4.474 eV/atom, total moment 2.578 Bohr magnetons per cell. Number 24: energy -4.769 eV/atom, total moment 0.001 Bohr magnetons per cell. Number 25: energy -5.998 eV/atom, total moment 5.830 Bohr magnetons per cell.